Record 1
Density functional theory data (GGA-PBE) for an optimized crystal structure of K4HgAu.

Values from the calculation:
The formation energy from the elements is -0.19 eV/atom. The crystal system is monoclinic. As for the symmetry: C2/c (15).

Unit cell a=9.498 b=9.498 c=7.399 alpha=106.30 beta=106.30 gamma=111.62
Atoms (fractional coordinates):
K 0.056 0.711 0.913
K 0.227 0.358 0.705
K 0.289 0.944 0.587
K 0.358 0.227 0.205
K 0.642 0.773 0.795
K 0.711 0.056 0.413
K 0.773 0.642 0.295
K 0.944 0.289 0.087
Hg 0.362 0.638 0.250
Hg 0.638 0.362 0.750
Au 0.000 0.000 0.250
Au 0.000 0.000 0.750

---

Record 2
Density functional theory data (GGA-PBE) for an optimized crystal structure of K3Hg4Au3.

Values from the calculation:
The formation energy from the elements is -0.25 eV/atom. The crystal system is cubic. As for the symmetry: I-43d (220).

Unit cell a=9.364 b=9.364 c=9.364 alpha=109.47 beta=109.47 gamma=109.47
Atoms (fractional coordinates):
K 0.125 0.750 0.875
K 0.250 0.625 0.375
K 0.375 0.250 0.625
K 0.625 0.375 0.250
K 0.750 0.875 0.125
K 0.875 0.125 0.750
Hg 0.000 0.357 0.500
Hg 0.000 0.857 0.500
Hg 0.143 0.143 0.143
Hg 0.357 0.500 0.000
Hg 0.500 0.000 0.357
Hg 0.500 0.000 0.857
Hg 0.643 0.643 0.643
Hg 0.857 0.500 0.000
Au 0.125 0.875 0.250
Au 0.250 0.125 0.875
Au 0.375 0.625 0.750
Au 0.625 0.750 0.375
Au 0.750 0.375 0.625
Au 0.875 0.250 0.125

---

Record 3
Density functional theory data (GGA-PBE) for an optimized crystal structure of K8Hg3Au.

Values from the calculation:
The formation energy from the elements is -0.10 eV/atom. The crystal system is trigonal. As for the symmetry: P-31m (162).

Unit cell a=10.080 b=10.080 c=6.827 alpha=90.00 beta=90.00 gamma=120.00
Atoms (fractional coordinates):
K 0.000 0.300 0.228
K 0.000 0.700 0.772
K 0.300 0.000 0.228
K 0.300 0.300 0.772
K 0.333 0.667 0.500
K 0.667 0.333 0.500
K 0.700 0.000 0.772
K 0.700 0.700 0.228
Hg 0.000 0.000 0.000
Hg 0.333 0.667 0.000
Hg 0.667 0.333 0.000
Au 0.000 0.000 0.500

---

Record 4
Density functional theory data (GGA-PBE) for an optimized crystal structure of K2HgAu.

Values from the calculation:
The formation energy from the elements is -0.24 eV/atom. The crystal system is trigonal. As for the symmetry: R3m (160).

Unit cell a=8.476 b=8.476 c=8.476 alpha=33.76 beta=33.76 gamma=33.76
Atoms (fractional coordinates):
K 0.000 0.000 0.000
K 0.178 0.178 0.178
Hg 0.756 0.756 0.756
Au 0.421 0.421 0.421

---

Record 5
Density functional theory data (GGA-PBE) for an optimized crystal structure of K4HgAu2.

Values from the calculation:
The formation energy from the elements is -0.08 eV/atom. The crystal system is tetragonal. As for the symmetry: I4/mmm (139).

Unit cell a=9.293 b=9.293 c=9.293 alpha=139.66 beta=139.66 gamma=58.37
Atoms (fractional coordinates):
K 0.000 0.500 0.500
K 0.216 0.216 0.000
K 0.500 0.000 0.500
K 0.784 0.784 0.000
Hg 0.000 0.000 0.000
Au 0.413 0.413 0.000
Au 0.587 0.587 0.000

---

Record 6
Density functional theory data (GGA-PBE) for an optimized crystal structure of K2Hg6Au.

Values from the calculation:
The formation energy from the elements is -0.22 eV/atom. The crystal system is trigonal. As for the symmetry: P-3m1 (164).

Unit cell a=6.909 b=6.909 c=6.324 alpha=90.00 beta=90.00 gamma=120.00
Atoms (fractional coordinates):
K 0.333 0.667 0.327
K 0.667 0.333 0.673
Hg 0.178 0.356 0.816
Hg 0.178 0.822 0.816
Hg 0.356 0.178 0.184
Hg 0.644 0.822 0.816
Hg 0.822 0.178 0.184
Hg 0.822 0.644 0.184
Au 0.000 0.000 0.500

---

Record 7
Density functional theory data (GGA-PBE) for an optimized crystal structure of KHgAu4.

Values from the calculation:
The formation energy from the elements is -0.17 eV/atom. The crystal system is cubic. As for the symmetry: F-43m (216).

Unit cell a=5.708 b=5.708 c=5.708 alpha=60.00 beta=60.00 gamma=60.00
Atoms (fractional coordinates):
K 0.000 0.000 0.000
Hg 0.250 0.250 0.250
Au 0.126 0.625 0.625
Au 0.625 0.126 0.625
Au 0.625 0.625 0.126
Au 0.625 0.625 0.625

---

Record 8
Density functional theory data (GGA-PBE) for an optimized crystal structure of K2HgAu.

Values from the calculation:
The formation energy from the elements is -0.30 eV/atom. The crystal system is orthorhombic. As for the symmetry: Amm2 (38).

Unit cell a=4.860 b=6.612 c=6.612 alpha=43.19 beta=90.00 gamma=90.00
Atoms (fractional coordinates):
K 0.000 0.000 0.000
K 0.500 0.287 0.287
Hg 0.500 0.579 0.579
Au 0.000 0.711 0.711

---

Question: formation energy from the elements of number 3 (K8Hg3Au)?
Answer: -0.10 eV/atom